A plane-wave DFT calculation with PBE+U was carried out for a relaxed MgW4O8 crystal.

## Properties
Offset from the most stable computed form in kJ/mol of atoms: 0.0
Total magnetic moment in μB per cell: 10.00

Unit cell a=3.2418 b=7.7344 c=7.9188 alpha=97.14 beta=101.67 gamma=101.62
Last column: nearest neighbours and their distance in Å.
Space group P1 (No. 1)
Inequivalent atoms, fractional coordinates:
1 Mg 0.0000 0.0000 0.0000 x1  5 O 2.14-2.23
2 W 0.2062 0.3682 0.0184 x1  4 O 2.09-2.21
3 W 0.3301 0.0155 0.6446 x1  6 O 2.02-2.22
4 W 0.6881 0.6537 0.7307 x1  6 O 2.11-2.33
5 W 0.8597 0.3268 0.3839 x1  6 O 2.00-2.19
6 O 0.0552 0.5014 0.6095 x1  3 W 2.00-2.11
7 O 0.3000 0.1664 0.4517 x1  3 W 2.03-2.18
8 O 0.3520 0.8534 0.8578 x1  2 Mg 2.14-2.18, 3 W 2.22-2.33
9 O 0.3907 0.4592 0.2954 x1  3 W 2.06-2.14
10 O 0.6557 0.1774 0.1153 x1  2 Mg 2.16-2.23, 3 W 2.19-2.39
11 O 0.6897 0.8562 0.5554 x1  3 W 2.02-2.22
12 O 0.7402 0.5149 0.9460 x1  3 W 2.09-2.12
13 O 0.9892 0.1496 0.7903 x1  3 W 2.08-2.21, 1 Mg 2.14